(1)
This record from Alexandria via LeMat-Bulk describes crystalline Ga2Cu2H at its relaxed geometry. The functional is PBE-GGA.

Lattice parameters (Å, degrees): 7.234 7.234 2.685 90.00 90.00 90.00
Sites, in units of the cell vectors:
Ga 0.180 0.320 0.000
Ga 0.320 0.820 0.000
Ga 0.680 0.180 0.000
Ga 0.820 0.680 0.000
Cu 0.122 0.622 0.500
Cu 0.378 0.122 0.500
Cu 0.622 0.878 0.500
Cu 0.878 0.378 0.500
H 0.000 0.000 0.500
H 0.500 0.500 0.500

Computed properties:
Total moment ... 0.0 μB/f.u.
DOS(E_F) ... 1.4 states/eV/f.u.
Total DFT energy (no corrections) ... -31.7 eV/cell
Crystal system ... tetragonal


(2)
This record from Alexandria via LeMat-Bulk describes crystalline GaCuH at its relaxed geometry. The functional is PBE-GGA.

Lattice parameters (Å, degrees): 2.723 2.723 5.784 90.00 90.00 120.00
Sites, in units of the cell vectors:
Ga 0.000 0.000 0.000
Cu 0.667 0.333 0.409
H 0.333 0.667 0.528

Computed properties:
Total moment ... 0.0 μB/f.u.
ΔE to the lowest computed polymorph ... 0.000 eV per atom
DOS(E_F) ... 1.0 states/eV/f.u.
Total DFT energy (no corrections) ... -10.0 eV/cell
Crystal system ... trigonal


(3)
This record from Alexandria via LeMat-Bulk describes crystalline GaCuH3 at its relaxed geometry. The functional is PBE-GGA.

Lattice parameters (Å, degrees): 3.559 3.559 3.559 90.00 90.00 90.00
Sites, in units of the cell vectors:
Ga 0.000 0.000 0.000
Cu 0.500 0.500 0.500
H 0.000 0.500 0.500
H 0.500 0.000 0.500
H 0.500 0.500 0.000

Computed properties:
Total moment ... 0.0 μB/f.u.
ΔE to the lowest computed polymorph ... 0.000 eV per atom
DOS(E_F) ... 0.9 states/eV/f.u.
Total DFT energy (no corrections) ... -15.4 eV/cell
Crystal system ... cubic


(4)
This record from Alexandria via LeMat-Bulk describes crystalline GaCu2HIr at its relaxed geometry. The functional is PBE-GGA.

Lattice parameters (Å, degrees): 3.810 3.810 3.860 90.00 90.00 90.00
Sites, in units of the cell vectors:
Ga 0.000 0.000 0.000
Cu 0.000 0.500 0.500
Cu 0.500 0.000 0.500
H 0.500 0.500 0.500
Ir 0.500 0.500 0.000

Computed properties:
Total moment ... 0.0 μB/f.u.
DOS(E_F) ... 2.2 states/eV/f.u.
Total DFT energy (no corrections) ... -23.7 eV/cell
Crystal system ... tetragonal


- DOS(E_F) of number 2 (GaCuH)?
  1.0 states/eV/f.u.